The following is a DFT calculation (PBE-GGA) of an optimized crystal structure of Ca4Ac.

Lattice parameters (Å, degrees): 16.2291 16.2291 16.2291 13.82 13.82 13.82
Atoms (fractional coordinates):
Ca: 0.0992 0.0992 0.0992
Ca: 0.3003 0.3003 0.3003
Ca: 0.6997 0.6997 0.6997
Ca: 0.9008 0.9008 0.9008
Ac: 0.5000 0.5000 0.5000

calculated density	3.03	g cm⁻³
V	212.2	Å³ per cell
energy of formation from the pure elements	16	meV/atom
E	-2.407	eV per atom

***

The following is a DFT calculation (PBE-GGA) of an optimized crystal structure of Ca4Ac5.

Lattice parameters (Å, degrees): 9.8464 9.8464 9.8464 92.68 92.68 155.00
Atoms (fractional coordinates):
Ca: 0.0000 0.3374 0.3374
Ca: 0.0000 0.6626 0.6626
Ca: 0.3374 0.0000 0.3374
Ca: 0.6626 0.0000 0.6626
Ac: 0.0000 0.0000 0.0000
Ac: 0.3322 0.3322 0.6644
Ac: 0.3322 0.6678 0.0000
Ac: 0.6678 0.3322 0.0000
Ac: 0.6678 0.6678 0.3356

calculated density	5.46	g cm⁻³
V	393.9	Å³ per cell
energy of formation from the pure elements	60	meV/atom
E	-3.112	eV per atom